Compound: SbMoC2N
Source: the Alexandria database
Functional: PBE
Structure: optimized geometry

## Properties
Its uncorrected energy is -4.81 eV/atom. For the relative energy among the computed polymorphs, the calculation gives 2.0379 eV/atom. The density of states at the Fermi level is 8.258 states/eV per cell. The uncorrected formation energy is 3.538 eV per atom.

abc: 4.0097 4.0097 5.4526
angles: 90.00 90.00 90.00
Space group P4/mmm (No. 123)
Inequivalent atoms, fractional coordinates:
Sb 0.0000 0.0000 0.0000 x1
Mo 0.0000 0.0000 0.5000 x1
C 0.0000 0.5000 0.0000 x2
N 0.5000 0.5000 0.5000 x1